# 1
! Cs2TbInI6 (GGA-PBE, relaxed); values from VASP
&SYSTEM
  ibrav = 0, nat = 10, ntyp = 4
/
ATOMIC_SPECIES
I 126.90 I.upf
Cs 132.91 Cs.upf
In 114.82 In.upf
Tb 158.93 Tb.upf
CELL_PARAMETERS angstrom
5.869 1.894 6.590
-2.781 0.263 8.582
2.546 -6.457 5.769
ATOMIC_POSITIONS crystal
I 0.238 0.762 0.762
I 0.238 0.238 0.762
I 0.762 0.238 0.762
Cs 0.750 0.750 0.750
I 0.762 0.762 0.238
I 0.238 0.762 0.238
I 0.762 0.238 0.238
Cs 0.250 0.250 0.250
In 0.500 0.500 0.500
Tb 0.000 0.000 0.000
! **Calculated volume**: 519.8 Å³/f.u.
! **Calculated total energy**: -3.11 eV per atom
! **SG**: Fm-3m (225)

# 2
! HfScAl4Fe2 (GGA-PBE, relaxed); values from VASP
&SYSTEM
  ibrav = 0, nat = 8, ntyp = 4
/
ATOMIC_SPECIES
Al 26.98 Al.upf
Fe 55.84 Fe.upf
Hf 178.49 Hf.upf
Sc 44.96 Sc.upf
CELL_PARAMETERS angstrom
-1.322 -1.038 6.519
2.330 4.413 1.175
-1.565 4.861 0.457
ATOMIC_POSITIONS crystal
Al 0.804 0.855 0.855
Fe 0.000 0.291 0.291
Al 0.303 0.145 0.145
Hf 0.000 0.570 0.570
Sc 0.500 0.431 0.431
Al 0.697 0.145 0.145
Al 0.196 0.855 0.855
Fe 0.500 0.708 0.708
! **Calculated volume**: 126.7 Å³/f.u.
! **Calculated total energy**: -6.36 eV per atom
! **SG**: Amm2 (38)

# 3
! ScZnFeNi (GGA-PBE, relaxed); values from VASP
&SYSTEM
  ibrav = 0, nat = 4, ntyp = 4
/
ATOMIC_SPECIES
Zn 65.41 Zn.upf
Sc 44.96 Sc.upf
Fe 55.84 Fe.upf
Ni 58.69 Ni.upf
CELL_PARAMETERS angstrom
0.000 3.059 3.059
3.059 0.000 3.059
3.059 3.059 0.000
ATOMIC_POSITIONS crystal
Zn 0.000 0.000 0.000
Sc 0.750 0.750 0.750
Fe 0.250 0.250 0.250
Ni 0.500 0.500 0.500
! **Calculated volume**: 57.2 Å³/f.u.
! **Calculated total energy**: -5.46 eV per atom
! **DFT formation energy**: -96 meV/atom
! **SG**: F-43m (216)
! **E above lowest polymorph**: 0.036 eV per atom

# 4
! CoSiNi (GGA-PBE, relaxed); values from VASP
&SYSTEM
  ibrav = 0, nat = 6, ntyp = 3
/
ATOMIC_SPECIES
Co 58.93 Co.upf
Si 28.09 Si.upf
Ni 58.69 Ni.upf
CELL_PARAMETERS angstrom
-0.686 0.729 3.567
3.258 -1.497 0.933
2.340 4.764 -0.524
ATOMIC_POSITIONS crystal
Co 0.000 0.000 0.750
Si 0.000 0.500 0.500
Co 0.000 0.000 0.250
Ni 0.500 0.500 0.250
Si 0.500 0.000 0.000
Ni 0.500 0.500 0.750
! **Calculated volume**: 36.6 Å³/f.u.
! **Calculated total energy**: -6.38 eV per atom
! **SG**: P4_2/mmc (131)

The lowest calculated total energy belongs to which entry? CoSiNi